{
  "formula": "LaSnSe2N",
  "functional": "PBE-GGA",
  "state": "relaxed",
  "cell": [[5.854, 0.000, 0.000], [0.000, 5.854, 0.000], [0.000, 0.000, 4.277]],
  "species": ["La", "Sn", "Se", "Se", "N"],
  "fractional_positions": [[0.000, 0.000, 0.000], [0.500, 0.500, 0.500], [0.000, 0.500, 0.000], [0.500, 0.000, 0.000], [0.000, 0.000, 0.500]],
  "e_form_raw_ev_per_atom": -0.022,
  "m_tot_mub_per_fu": 1.2,
  "vol_a3_per_cell": 147,
  "energy_ev_per_atom": -4.867
}